# 1
# Ba2MgGe3Au12, relaxed, DFT PBE-GGA
data_Ba2MgGe3Au12
_chemical_formula_sum 'Ba6 Mg3 Ge9 Au36'
_cell_length_a 9.2167
_cell_length_b 9.2167
_cell_length_c 19.3996
_cell_angle_alpha 90.00
_cell_angle_beta 90.00
_cell_angle_gamma 120.00
_space_group_name_H-M_alt 'R -3 m'
_space_group_IT_number 166
_space_group_name_Hall '-R 3 2"'
loop_
_atom_site_label
_atom_site_fract_x
_atom_site_fract_y
_atom_site_fract_z
_atom_site_occupancy
Ba1 0.0000 0.0000 0.1117 1
Mg1 0.0000 0.0000 0.5000 1
Ge1 0.0000 0.5000 0.0000 1
Au1 0.0152 0.5076 0.1308 1
Au2 0.0201 0.5101 0.3343 1
# D(E_F): 16.3 states/eV per cell
# E_form: -130.5 meV per atom

# 2
# BaMnGe2Au, relaxed, DFT PBE-GGA
data_BaMnGe2Au
_chemical_formula_sum 'Ba1 Mn1 Ge2 Au1'
_cell_length_a 4.6667
_cell_length_b 4.6667
_cell_length_c 5.2893
_cell_angle_alpha 90.00
_cell_angle_beta 90.00
_cell_angle_gamma 90.00
_space_group_name_H-M_alt 'P 4/m m m'
_space_group_IT_number 123
_space_group_name_Hall '-P 4 2'
loop_
_atom_site_label
_atom_site_fract_x
_atom_site_fract_y
_atom_site_fract_z
_atom_site_occupancy
Ba1 0.0000 0.0000 0.0000 1
Mn1 0.5000 0.5000 0.5000 1
Ge1 0.0000 0.5000 0.5000 1
Au1 0.5000 0.5000 0.0000 1
# D(E_F): 2.1 states/eV per cell
# E_form: -253.8 meV per atom

# 3
# Ba2MnGe3Au12, relaxed, DFT PBE-GGA
data_Ba2MnGe3Au12
_chemical_formula_sum 'Ba6 Mn3 Ge9 Au36'
_cell_length_a 9.1705
_cell_length_b 9.1705
_cell_length_c 19.7229
_cell_angle_alpha 90.00
_cell_angle_beta 90.00
_cell_angle_gamma 120.00
_space_group_name_H-M_alt 'R -3 m'
_space_group_IT_number 166
_space_group_name_Hall '-R 3 2"'
loop_
_atom_site_label
_atom_site_fract_x
_atom_site_fract_y
_atom_site_fract_z
_atom_site_occupancy
Ba1 0.0000 0.0000 0.1125 1
Mn1 0.0000 0.0000 0.5000 1
Ge1 0.0000 0.5000 0.0000 1
Au1 0.0191 0.5095 0.3359 1
Au2 0.0197 0.5099 0.1280 1
# D(E_F): 17.1 states/eV per cell
# E_form: -52.7 meV per atom

# 4
# Ba2NaGe3Au4, relaxed, DFT PBE-GGA
data_Ba2NaGe3Au4
_chemical_formula_sum 'Ba2 Na1 Ge3 Au4'
_cell_length_a 4.7468
_cell_length_b 4.7468
_cell_length_c 10.7585
_cell_angle_alpha 90.00
_cell_angle_beta 90.00
_cell_angle_gamma 90.00
_space_group_name_H-M_alt 'P -4 m 2'
_space_group_IT_number 115
loop_
_space_group_symop_operation_xyz
'x,y,z'
'y,-x,-z'
'-x,-y,z'
'-y,x,-z'
'-x,y,z'
'-y,-x,-z'
'x,-y,z'
'y,x,-z'
loop_
_atom_site_label
_atom_site_fract_x
_atom_site_fract_y
_atom_site_fract_z
_atom_site_occupancy
Ba1 0.0000 0.5000 0.2418 1
Na1 0.0000 0.0000 0.5000 1
Ge1 0.0000 0.5000 0.8788 1
Ge2 0.5000 0.5000 0.5000 1
Au1 0.0000 0.0000 0.0000 1
Au2 0.0000 0.5000 0.6361 1
Au3 0.5000 0.5000 0.0000 1
# D(E_F): 3.6 states/eV per cell
# E_form: -498.9 meV per atom